Entry from the Alexandria database: a geometry-optimized RbZnSnTe3 structure (PBE).

```
data_RbZnSnTe3
_chemical_formula_sum 'Rb2 Zn2 Sn2 Te6'
_cell_length_a 4.302
_cell_length_b 10.329
_cell_length_c 10.632
_cell_angle_alpha 108.55
_cell_angle_beta 90.00
_cell_angle_gamma 90.00
_symmetry_space_group_name_H-M 'P 1'
_symmetry_Int_Tables_number 1
loop_
_symmetry_equiv_pos_as_xyz
'x,y,z'
loop_
_atom_site_label
_atom_site_type_symbol
_atom_site_fract_x
_atom_site_fract_y
_atom_site_fract_z
Rb1 Rb 0.250 0.198 0.244
Rb2 Rb 0.750 0.802 0.756
Zn1 Zn 0.250 0.078 0.606
Zn2 Zn 0.750 0.922 0.394
Sn1 Sn 0.250 0.660 0.125
Sn2 Sn 0.750 0.340 0.875
Te1 Te 0.750 0.874 0.131
Te2 Te 0.250 0.126 0.869
Te3 Te 0.250 0.803 0.466
Te4 Te 0.750 0.197 0.534
Te5 Te 0.750 0.467 0.168
Te6 Te 0.250 0.533 0.832
```

The value obtained for the formation energy without anion corrections is -0.509 eV/atom. The calculated density comes out at 4.84 g/cm3. The value obtained for the energy is -3.121 eV/atom.